Material: YErSn2
Method: DFT, PBE
State: relaxed

POSCAR file:
```
YErSn2
1.0
-0.7949 -0.2972 3.7520
2.7780 -0.9509 2.4852
2.6238 8.1847 3.1760
Y Sn Er
1 2 1
Direct
0.0000 0.0000 0.0000
0.7506 0.7506 0.7481
0.2494 0.2494 0.2519
0.5000 0.5000 0.5000
```

Calculated values
energy above the lowest structure with this stoichiometry = 194 meV/atom
energy of formation = -532 meV/atom
size of the total moment = 0.00 μB per atom